[1]
Be3C: relaxed, GGA-PBE.

ΔE to the lowest computed polymorph, meV/atom: 13
Formation energy from the elements, eV/atom: 0.220
Space group: Pmmn (59)

a b c (Å): 2.8447 3.9971 5.4369
angles (deg): 90.00 90.00 90.00
Element x y z (fractional)
C: 0.5000 0.5273 0.5000
C: 0.0000 0.4727 0.0000
Be: 0.0000 0.8113 0.5000
Be: 0.0000 0.3096 0.3147
Be: 0.5000 0.6904 0.1853
Be: 0.5000 0.6904 0.8147
Be: 0.5000 0.1887 0.0000
Be: 0.0000 0.3096 0.6853

[2]
MgCrOs2: relaxed, GGA-PBE.

Formation energy from the elements, eV/atom: 0.484
Space group: Cmm2 (35)

a b c (Å): 2.6747 2.6747 9.0580
angles (deg): 90.00 90.00 115.55
Element x y z (fractional)
Os: 0.0000 0.0000 0.0036
Os: 0.5000 0.5000 0.2623
Cr: 0.0000 0.0000 0.4885
Mg: 0.5000 0.5000 0.7455

[3]
Pu4P2Se5: relaxed, GGA-PBE.

Space group: C2/m (12)
Raw formation energy, eV per atom: -0.8540

a b c (Å): 4.2006 11.2456 6.7886
angles (deg): 106.81 108.02 90.00
Element x y z (fractional)
Se: 0.5000 0.0000 0.0000
Se: 0.6090 0.3860 0.2180
Se: 0.1733 0.8455 0.3467
Se: 0.8267 0.1545 0.6533
Se: 0.3910 0.6140 0.7820
Pu: 0.1513 0.5804 0.3026
Pu: 0.8487 0.4196 0.6974
Pu: 0.9352 0.8134 0.8704
Pu: 0.0648 0.1866 0.1296
P: 0.2889 0.2416 0.5779
P: 0.7111 0.7584 0.4221

[4]
Ca4Cd3Sn: relaxed, GGA-PBE.

Formation energy from the elements, eV/atom: -0.432
Space group: P4/mmm (123)

a b c (Å): 3.7726 3.7726 15.8936
angles (deg): 90.00 90.00 90.00
Element x y z (fractional)
Ca: 0.0000 0.0000 0.1274
Ca: 0.0000 0.0000 0.6248
Ca: 0.0000 0.0000 0.8726
Ca: 0.0000 0.0000 0.3752
Sn: 0.5000 0.5000 0.0000
Cd: 0.5000 0.5000 0.2528
Cd: 0.5000 0.5000 0.7472
Cd: 0.5000 0.5000 0.5000

[5]
Sm2HfF: relaxed, GGA-PBE.

Space group: R-3m (166)
Raw formation energy, eV per atom: -0.7583

a b c (Å): 3.2214 3.2214 10.4666
angles (deg): 81.15 81.15 60.00
Element x y z (fractional)
Sm: 0.8961 0.8961 0.3118
Sm: 0.1039 0.1039 0.6882
Hf: 0.0000 0.0000 0.0000
F: 0.5000 0.5000 0.5000

[6]
Ac4BeI5: relaxed, GGA-PBE.

Space group: C2/m (12)
Raw formation energy, eV per atom: -0.9997

a b c (Å): 4.4309 9.6833 10.5889
angles (deg): 102.73 102.08 90.00
Element x y z (fractional)
I: 0.8328 0.6528 0.6655
I: 0.1739 0.8257 0.3477
I: 0.5000 0.5000 0.0000
I: 0.8261 0.1743 0.6523
I: 0.1672 0.3472 0.3345
Ac: 0.3515 0.9212 0.7029
Ac: 0.0009 0.7832 0.0018
Ac: 0.9991 0.2168 0.9982
Ac: 0.6485 0.0788 0.2971
Be: 0.5000 0.0000 0.0000

[7]
CrRh3: relaxed, GGA-PBE.

Formation energy from the elements, eV/atom: -0.061
Space group: Cmmm (65)

a b c (Å): 4.6253 4.6253 2.7298
angles (deg): 90.00 90.00 108.85
Element x y z (fractional)
Rh: 0.0000 0.5000 0.5000
Rh: 0.5000 0.5000 0.0000
Rh: 0.5000 0.0000 0.5000
Cr: 0.0000 0.0000 0.0000

[8]
LaMg2Tl3: relaxed, GGA-PBE.

Formation energy from the elements, eV/atom: -0.203
Space group: P6_3/mmc (194)

a b c (Å): 5.1005 5.1005 14.5201
angles (deg): 90.00 90.00 120.00
Element x y z (fractional)
Mg: 0.3333 0.6667 0.9045
Mg: 0.6667 0.3333 0.0955
Mg: 0.6667 0.3333 0.4045
Mg: 0.3333 0.6667 0.5955
Tl: 0.3333 0.6667 0.3640
Tl: 0.6667 0.3333 0.6360
Tl: 0.0000 0.0000 0.5000
Tl: 0.3333 0.6667 0.1360
Tl: 0.6667 0.3333 0.8640
Tl: 0.0000 0.0000 0.0000
La: 0.0000 0.0000 0.7500
La: 0.0000 0.0000 0.2500

[9]
CaLaIn2Co: relaxed, GGA-PBE.

Formation energy from the elements, eV/atom: -0.285
Space group: P4/mmm (123)

a b c (Å): 5.2203 5.2203 4.9217
angles (deg): 90.00 90.00 90.00
Element x y z (fractional)
In: 0.0000 0.5000 0.0000
In: 0.5000 0.0000 0.0000
Ca: 0.5000 0.5000 0.5000
La: 0.0000 0.0000 0.5000
Co: 0.0000 0.0000 0.0000

[10]
Np2Mn12P7: relaxed, GGA-PBE.

Formation energy from the elements, eV/atom: -0.620
Space group: P-6 (174)

a b c (Å): 3.5609 9.3474 9.3474
angles (deg): 120.00 90.00 90.00
Element x y z (fractional)
P: 0.5000 0.9239 0.3765
P: 0.5000 0.4526 0.0761
P: 0.0000 0.2188 0.2579
P: 0.5000 0.6235 0.5474
P: 0.0000 0.0391 0.7812
P: 0.0000 0.7421 0.9609
P: 0.0000 0.3333 0.6667
Np: 0.5000 0.0000 0.0000
Np: 0.0000 0.6667 0.3333
Mn: 0.5000 0.7157 0.1037
Mn: 0.5000 0.3880 0.2843
Mn: 0.5000 0.2130 0.4426
Mn: 0.5000 0.5574 0.7704
Mn: 0.0000 0.0580 0.5452
Mn: 0.5000 0.8963 0.6120
Mn: 0.5000 0.2296 0.7870
Mn: 0.0000 0.4548 0.5129
Mn: 0.0000 0.9592 0.2334
Mn: 0.0000 0.7666 0.7258
Mn: 0.0000 0.4871 0.9420
Mn: 0.0000 0.2742 0.0408

[11]
PmMg3Au3: relaxed, GGA-PBE.

ΔE to the lowest computed polymorph, meV/atom: 0
Formation energy from the elements, eV/atom: -0.584
Space group: P2_1/m (11)

a b c (Å): 4.7048 8.6318 8.6283
angles (deg): 120.03 90.00 90.00
Element x y z (fractional)
Au: 0.2500 0.3780 0.4397
Au: 0.7500 0.6220 0.5603
Au: 0.2500 0.5600 0.9381
Au: 0.7500 0.4400 0.0619
Au: 0.7500 0.9380 0.3779
Au: 0.2500 0.0620 0.6221
Mg: 0.2500 0.0152 0.2508
Mg: 0.2500 0.2358 0.9849
Mg: 0.2500 0.7491 0.7645
Mg: 0.7500 0.9848 0.7492
Mg: 0.7500 0.2509 0.2355
Mg: 0.7500 0.7642 0.0151
Pm: 0.7500 0.3332 0.6665
Pm: 0.2500 0.6668 0.3335

[12]
YEr2Ga2Cu2: relaxed, GGA-PBE.

Formation energy from the elements, eV/atom: -0.404
Space group: R-3m (166)

a b c (Å): 4.3619 4.3619 9.4312
angles (deg): 76.63 76.63 60.00
Element x y z (fractional)
Er: 0.1244 0.1244 0.6268
Er: 0.8756 0.8756 0.3732
Cu: 0.3998 0.3998 0.8006
Cu: 0.6002 0.6002 0.1994
Ga: 0.7376 0.7376 0.7872
Ga: 0.2624 0.2624 0.2128
Y: 0.0000 0.0000 0.0000

[13]
Sr2Sn3Hg5: relaxed, GGA-PBE.

Formation energy from the elements, eV/atom: -0.303
Space group: Ibam (72)

a b c (Å): 6.9079 9.8600 9.8600
angles (deg): 76.13 69.49 69.49
Element x y z (fractional)
Sr: 0.3730 0.8654 0.3887
Sr: 0.6270 0.1346 0.6113
Sr: 0.1270 0.6113 0.1346
Sr: 0.8730 0.3887 0.8654
Hg: 0.2500 0.5000 0.5000
Hg: 0.7500 0.5000 0.5000
Hg: 0.0139 0.2361 0.2361
Hg: 0.6186 0.7339 0.0288
Hg: 0.1186 0.0288 0.7339
Hg: 0.5139 0.2361 0.2361
Hg: 0.4861 0.7639 0.7639
Hg: 0.3814 0.2661 0.9712
Hg: 0.9861 0.7639 0.7639
Hg: 0.8814 0.9712 0.2661
Sn: 0.2500 0.0000 0.0000
Sn: 0.1314 0.2436 0.4935
Sn: 0.8686 0.7564 0.5065
Sn: 0.6314 0.4935 0.2436
Sn: 0.3686 0.5065 0.7564
Sn: 0.7500 0.0000 0.0000

[14]
SrMg2CdIn4: relaxed, GGA-PBE.

Formation energy from the elements, eV/atom: -0.156
Space group: R-3m (166)

a b c (Å): 5.1273 5.1273 9.9023
angles (deg): 75.00 75.00 60.00
Element x y z (fractional)
Mg: 0.7515 0.7515 0.7455
Mg: 0.2485 0.2485 0.2545
In: 0.3930 0.3930 0.8209
In: 0.6070 0.6070 0.1791
In: 0.8735 0.8735 0.3794
In: 0.1265 0.1265 0.6206
Cd: 0.5000 0.5000 0.5000
Sr: 0.0000 0.0000 0.0000

[15]
YLu2Co: relaxed, GGA-PBE.

ΔE to the lowest computed polymorph, meV/atom: 0
Formation energy from the elements, eV/atom: -0.113
Space group: P4/mmm (123)

a b c (Å): 3.3260 3.3260 8.7859
angles (deg): 90.00 90.00 90.00
Element x y z (fractional)
Lu: 0.0000 0.0000 0.1797
Lu: 0.0000 0.0000 0.8203
Co: 0.5000 0.5000 0.0000
Y: 0.5000 0.5000 0.5000

[16]
RbCeTiN3: relaxed, GGA-PBE.

Space group: P2_1/m (11)
Raw formation energy, eV per atom: -1.0124

a b c (Å): 3.5779 7.8945 9.4248
angles (deg): 99.38 90.00 90.00
Element x y z (fractional)
N: 0.2500 0.1814 0.7798
N: 0.7500 0.4363 0.0995
N: 0.7500 0.1324 0.4909
N: 0.2500 0.8676 0.5091
N: 0.2500 0.5637 0.9005
N: 0.7500 0.8186 0.2202
Rb: 0.7500 0.8398 0.7990
Rb: 0.2500 0.1602 0.2010
Ce: 0.7500 0.3769 0.8616
Ce: 0.2500 0.6231 0.1384
Ti: 0.7500 0.8849 0.4176
Ti: 0.2500 0.1151 0.5824

[17]
Tl6Hg3Pt: relaxed, GGA-PBE.

Formation energy from the elements, eV/atom: -0.007
Space group: P2_1/m (11)

a b c (Å): 4.3508 11.7241 11.2779
angles (deg): 96.89 90.00 90.00
Element x y z (fractional)
Tl: 0.7500 0.8425 0.8218
Tl: 0.7500 0.7657 0.5022
Tl: 0.7500 0.0610 0.6190
Tl: 0.2500 0.1575 0.1782
Tl: 0.7500 0.5493 0.8968
Tl: 0.2500 0.2343 0.4978
Tl: 0.7500 0.3555 0.3074
Tl: 0.2500 0.4507 0.1032
Tl: 0.2500 0.9390 0.3810
Tl: 0.2500 0.0662 0.8658
Tl: 0.2500 0.6445 0.6926
Tl: 0.7500 0.9338 0.1342
Hg: 0.7500 0.4438 0.5968
Hg: 0.2500 0.5562 0.4032
Hg: 0.2500 0.3357 0.7783
Hg: 0.7500 0.6643 0.2217
Hg: 0.2500 0.7413 0.0261
Hg: 0.7500 0.2587 0.9739
Pt: 0.7500 0.1056 0.3561
Pt: 0.2500 0.8944 0.6439

[18]
AcZnAgPd3: relaxed, GGA-PBE.

Formation energy from the elements, eV/atom: -0.353
Space group: Cmcm (63)

a b c (Å): 5.9911 6.8391 7.0952
angles (deg): 118.81 90.00 90.00
Element x y z (fractional)
Pd: 0.0000 0.3023 0.0000
Pd: 0.0000 0.6977 0.0000
Pd: 0.5000 0.3023 0.0000
Pd: 0.5000 0.6977 0.0000
Pd: 0.7500 0.8369 0.6738
Pd: 0.2500 0.1631 0.3262
Ag: 0.7500 0.0634 0.1267
Ag: 0.2500 0.9366 0.8733
Ac: 0.2500 0.6964 0.3928
Ac: 0.7500 0.3036 0.6072
Zn: 0.7500 0.6336 0.2673
Zn: 0.2500 0.3664 0.7327

[19]
CsKLi3: relaxed, GGA-PBE.

ΔE to the lowest computed polymorph, meV/atom: 0
Formation energy from the elements, eV/atom: 0.430
Space group: Pm-3m (221)

a b c (Å): 6.5741 6.5741 6.5741
angles (deg): 90.00 90.00 90.00
Element x y z (fractional)
Li: 0.0000 0.5000 0.0000
Li: 0.5000 0.0000 0.0000
Li: 0.0000 0.0000 0.5000
K: 0.0000 0.0000 0.0000
Cs: 0.5000 0.5000 0.5000

[20]
CsC3O6: relaxed, GGA-PBE.

Space group: R3m (160)
Raw formation energy, eV per atom: -1.1890

a b c (Å): 4.4699 7.8686 7.8686
angles (deg): 116.50 100.92 100.92
Element x y z (fractional)
O: 0.8391 0.3055 0.0000
O: 0.1302 0.0000 0.5882
O: 0.1302 0.5882 0.0000
O: 0.5420 0.4118 0.4118
O: 0.5336 0.6945 0.6945
O: 0.8391 0.0000 0.3055
C: 0.9494 0.0000 0.4561
C: 0.9494 0.4561 0.0000
C: 0.4933 0.5439 0.5439
Cs: 0.2547 0.0000 0.0000

| no. | final energy (eV/cell) |
| --- | --- |
| 1 | -39.05 |
| 2 | -31.74 |
| 3 | -94.96 |
| 4 | -18.21 |
| 5 | -24.30 |
| 6 | -37.91 |
| 7 | -31.92 |
| 8 | -32.86 |
| 9 | -20.94 |
| 10 | -186.80 |
| 11 | -46.90 |
| 12 | -32.66 |
| 13 | -39.83 |
| 14 | -17.98 |
| 15 | -23.06 |
| 16 | -91.69 |
| 17 | -42.42 |
| 18 | -51.86 |
| 19 | -5.54 |
| 20 | -70.16 |